Nb5CrTc4 after structural relaxation, computed with PBE-GGA.

Cell: 3.1796 3.1796 15.8895 Å, 90.00 90.00 90.00°
Last column: nearest neighbours and their distance in Å.
Positions (direct):
1 Nb 0.5000 0.5000 0.5000  8 Tc 2.76
2 Tc 0.0000 0.0000 0.1980  8 Nb 2.75-2.77
3 Tc 0.0000 0.0000 0.3992  8 Nb 2.76-2.77
4 Cr 0.0000 0.0000 0.0000  8 Nb 2.72
5 Nb 0.5000 0.5000 0.9037  4 Cr 2.72, 4 Tc 2.77
6 Nb 0.5000 0.5000 0.0963  4 Cr 2.72, 4 Tc 2.77
7 Nb 0.5000 0.5000 0.7022  8 Tc 2.75-2.77
8 Tc 0.0000 0.0000 0.6008  8 Nb 2.76-2.77
9 Nb 0.5000 0.5000 0.2978  8 Tc 2.75-2.77
10 Tc 0.0000 0.0000 0.8020  8 Nb 2.75-2.77

Calculated values
The theoretical density comes out at 9.4 g/cm3.

=====

NbCr2Tc after structural relaxation, computed with PBE-GGA.

Cell: 6.8093 6.8093 5.4750 Å, 51.55 51.55 90.00°
Last column: nearest neighbours and their distance in Å.
Positions (direct):
1 Nb 0.5000 0.5000 0.0000  4 Cr 2.59, 2 Tc 2.61
2 Cr 0.6452 0.1250 0.2500  2 Tc 2.40, 2 Nb 2.59, 2 Cr 2.62
3 Cr 0.3750 0.3548 0.7500  2 Tc 2.40, 2 Nb 2.59, 2 Cr 2.62
4 Nb 0.2500 0.7500 0.5000  4 Cr 2.59, 2 Tc 2.61
5 Tc 0.0000 0.0000 0.0000  4 Cr 2.40, 2 Nb 2.61
6 Cr 0.8750 0.8952 0.7500  2 Tc 2.40, 2 Nb 2.59, 2 Cr 2.62
7 Cr 0.1048 0.6250 0.2500  2 Tc 2.40, 2 Nb 2.59, 2 Cr 2.62
8 Tc 0.7500 0.2500 0.5000  4 Cr 2.40, 2 Nb 2.61

Calculated values
The theoretical density comes out at 8.1 g/cm3.

=====

NbCr2Tc after structural relaxation, computed with PBE-GGA.

Cell: 4.2932 4.2932 4.2932 Å, 60.00 60.00 60.00°
Last column: nearest neighbours and their distance in Å.
Positions (direct):
1 Tc 0.5000 0.5000 0.5000  8 Cr 2.63
2 Cr 0.7500 0.7500 0.7500  4 Nb 2.63, 4 Tc 2.63
3 Cr 0.2500 0.2500 0.2500  4 Nb 2.63, 4 Tc 2.63
4 Nb 0.0000 0.0000 0.0000  8 Cr 2.63

Calculated values
The theoretical density comes out at 8.8 g/cm3.

=====

NbCr2Tc after structural relaxation, computed with PBE-GGA.

Cell: 3.0409 4.2918 4.2918 Å, 90.00 90.00 90.00°
Last column: nearest neighbours and their distance in Å.
Positions (direct):
1 Nb 0.5000 0.0000 0.0000  8 Cr 2.63
2 Tc 0.5000 0.5000 0.5000  8 Cr 2.63
3 Cr 0.0000 0.0000 0.5000  4 Nb 2.63, 4 Tc 2.63
4 Cr 0.0000 0.5000 0.0000  4 Nb 2.63, 4 Tc 2.63

Calculated values
The theoretical density comes out at 8.7 g/cm3.

=====

NbCr2Tc after structural relaxation, computed with PBE-GGA.

Cell: 3.0332 3.0332 6.1170 Å, 90.00 90.00 90.00°
Last column: nearest neighbours and their distance in Å.
Positions (direct):
1 Nb 0.5000 0.5000 0.0000  8 Cr 2.67
2 Cr 0.0000 0.0000 0.7396  4 Tc 2.60, 4 Nb 2.67
3 Cr 0.0000 0.0000 0.2604  4 Tc 2.60, 4 Nb 2.67
4 Tc 0.5000 0.5000 0.5000  8 Cr 2.60

Calculated values
The theoretical density comes out at 8.7 g/cm3.

=====

Nb3CrTc after structural relaxation, computed with PBE-GGA.

Cell: 4.5422 4.5422 4.5422 Å, 90.00 90.00 90.00°
Last column: nearest neighbours and their distance in Å.
Positions (direct):
1 Nb 0.0000 0.0000 0.5000  2 Cr 2.27
2 Cr 0.0000 0.0000 0.0000  6 Nb 2.27
3 Nb 0.5000 0.0000 0.0000  2 Cr 2.27
4 Nb 0.0000 0.5000 0.0000  2 Cr 2.27
5 Tc 0.5000 0.5000 0.5000  12 Nb 3.21

Calculated values
The theoretical density comes out at 7.6 g/cm3.

=====

TiNb2CrTc after structural relaxation, computed with PBE-GGA.

Cell: 4.8496 4.3076 4.8496 Å, 90.00 90.00 90.00°
Last column: nearest neighbours and their distance in Å.
Positions (direct):
1 Cr 0.0000 0.5000 0.0000  2 Tc 2.15
2 Nb 0.0000 0.0000 0.5000  2 Tc 2.42
3 Nb 0.5000 0.0000 0.0000  2 Tc 2.42
4 Tc 0.0000 0.0000 0.0000  2 Cr 2.15
5 Ti 0.5000 0.5000 0.5000  8 Nb 3.24, 4 Cr 3.43

Calculated values
The theoretical density comes out at 6.3 g/cm3.

=====

NbTlCrTc2 after structural relaxation, computed with PBE-GGA.

Cell: 4.9765 4.7563 4.9765 Å, 90.00 90.00 90.00°
Last column: nearest neighbours and their distance in Å.
Positions (direct):
1 Tl 0.0000 0.0000 0.0000  2 Cr 2.38, 4 Tc 2.49
2 Nb 0.5000 0.5000 0.5000  8 Tc 3.44, 4 Cr 3.52
3 Tc 0.5000 0.0000 0.0000  2 Tl 2.49
4 Cr 0.0000 0.5000 0.0000  2 Tl 2.38
5 Tc 0.0000 0.0000 0.5000  2 Tl 2.49

Calculated values
The theoretical density comes out at 7.7 g/cm3.

=====

| no. | E (Ha/atom) | total moment (μB per atom) | N(E_F) (states/eV per atom) |
| --- | --- | --- | --- |
| 1 | -0.383 | 0.04 | 0.61 |
| 2 | -0.340 | 0.00 | 1.56 |
| 3 | -0.365 | 0.00 | 0.33 |
| 4 | -0.364 | 0.00 | 0.87 |
| 5 | -0.364 | 0.00 | 0.82 |
| 6 | -0.330 | 0.00 | 1.64 |
| 7 | -0.311 | 0.00 | 1.72 |
| 8 | -0.229 | 0.62 | 0.71 |